[1]
VASP calculation (PBE-GGA) on a relaxed structure of Fe4SnIr.

Cell: 4.866 4.866 4.866 Å, 60.00 60.00 60.00°
Atoms (fractional coordinates):
Fe1 0.125 0.125 0.125
Fe2 0.125 0.125 0.625
Fe3 0.125 0.625 0.125
Fe4 0.625 0.125 0.125
Sn1 0.500 0.500 0.500
Ir1 0.750 0.750 0.750

Summary:
N(E_F): 5.49 states/eV/f.u.
E_form: 0.0828 eV per atom

[2]
VASP calculation (PBE-GGA) on a relaxed structure of LaY2FeB.

Cell: 5.079 5.079 4.915 Å, 90.00 90.00 90.00°
Atoms (fractional coordinates):
La1 0.000 0.000 0.000
Y1 0.000 0.500 0.500
Y2 0.500 0.000 0.500
Fe1 0.000 0.000 0.500
B1 0.500 0.500 0.000

Summary:
N(E_F): 5.75 states/eV/f.u.
E_form: 0.7000 eV per atom

[3]
VASP calculation (PBE-GGA) on a relaxed structure of Sr8Au2N.

Cell: 12.076 12.076 8.752 Å, 90.64 90.64 19.75°
Atoms (fractional coordinates):
Sr1 0.006 0.006 0.204
Sr2 0.247 0.247 0.750
Sr3 0.386 0.386 0.494
Sr4 0.391 0.391 0.010
Sr5 0.609 0.609 0.990
Sr6 0.614 0.614 0.506
Sr7 0.753 0.753 0.250
Sr8 0.994 0.994 0.796
Au1 0.148 0.148 0.251
Au2 0.852 0.852 0.749
N1 0.500 0.500 0.000

Summary:
energy relative to the elements, uncorrected: -0.42 eV per atom
N(E_F): 8.88 states/eV/f.u.
energy above the most stable polymorph in this dataset: 0.000 eV/atom

[4]
VASP calculation (PBE-GGA) on a relaxed structure of SrLa2Pm.

Cell: 13.466 13.466 13.466 Å, 15.91 15.91 15.91°
Atoms (fractional coordinates):
Sr1 0.000 0.000 0.000
La1 0.092 0.092 0.092
La2 0.908 0.908 0.908
Pm1 0.500 0.500 0.500

Summary:
N(E_F): 6.01 states/eV/f.u.
energy above the most stable polymorph in this dataset: 0.081 eV/atom
E_form: 0.1557 eV per atom

[5]
VASP calculation (PBE-GGA) on a relaxed structure of Ho3Tl2Ir.

Cell: 9.345 9.345 9.345 Å, 134.60 57.74 146.27°
Atoms (fractional coordinates):
Ho1 0.130 0.000 0.630
Ho2 0.130 0.500 0.130
Ho3 0.427 0.177 0.250
Ho4 0.573 0.823 0.750
Ho5 0.870 0.000 0.370
Ho6 0.870 0.500 0.870
Tl1 0.306 0.748 0.558
Tl2 0.310 0.252 0.058
Tl3 0.690 0.748 0.942
Tl4 0.694 0.252 0.442
Ir1 0.073 0.323 0.750
Ir2 0.927 0.677 0.250

Summary:
N(E_F): 3.36 states/eV/f.u.
E_form: -0.4576 eV per atom

[6]
VASP calculation (PBE-GGA) on a relaxed structure of Sr3SbF.

Cell: 5.293 5.293 5.293 Å, 90.00 90.00 90.00°
Atoms (fractional coordinates):
Sr1 0.000 0.000 0.500
Sr2 0.000 0.500 0.000
Sr3 0.500 0.000 0.000
Sb1 0.500 0.500 0.500
F1 0.000 0.000 0.000

Summary:
energy relative to the elements, uncorrected: -1.31 eV per atom
N(E_F): 6.09 states/eV/f.u.
energy above the most stable polymorph in this dataset: 0.238 eV/atom

Question: N(E_F) of number 5 (Ho3Tl2Ir)?
Answer: 3.36 states/eV/f.u.

Question: N(E_F) of number 4 (SrLa2Pm)?
Answer: 6.01 states/eV/f.u.